Entry 1:
Sm8Dy2Hg: optimized geometry, PBE.

Summary:
Electronic total energy: -4.280 eV/atom

CIF file:
```
data_Sm8Dy2Hg
_cell_length_a 18.0863
_cell_length_b 5.5680
_cell_length_c 7.7835
_cell_angle_alpha 90.00
_cell_angle_beta 112.31
_cell_angle_gamma 90.00
_space_group_name_H-M_alt 'C 1 2/m 1'
_space_group_IT_number 12
loop_
_space_group_symop_operation_xyz
'x,y,z'
'-x,-y,-z'
'-x,y,-z'
'x,-y,z'
'x+1/2,y+1/2,z'
'-x+1/2,-y+1/2,-z'
'-x+1/2,y+1/2,-z'
'x+1/2,-y+1/2,z'
loop_
_atom_site_label
_atom_site_fract_x
_atom_site_fract_y
_atom_site_fract_z
Sm1 0.0070 0.0000 0.2517
Sm2 0.1192 0.5000 0.9200
Sm3 0.1541 0.5000 0.4051
Sm4 0.1807 0.0000 0.7122
Dy1 0.1900 0.0000 0.1665
Hg1 0.0000 0.5000 0.5000
```

=====

Entry 2:
ZrCo2Tc: optimized geometry, PBE.

Summary:
Excess energy over the best structure of this formula in the dataset: 0.535 eV per atom

CIF file:
```
data_ZrCo2Tc
_cell_length_a 3.8575
_cell_length_b 3.8575
_cell_length_c 17.0785
_cell_angle_alpha 90.00
_cell_angle_beta 90.00
_cell_angle_gamma 90.00
_space_group_name_H-M_alt 'I -4 2 d'
_space_group_IT_number 122
_space_group_name_Hall 'I -4 2bw'
loop_
_atom_site_label
_atom_site_fract_x
_atom_site_fract_y
_atom_site_fract_z
Zr1 0.0000 0.0000 0.0000
Co1 0.1954 0.2500 0.6250
Tc1 0.0000 0.0000 0.5000
```